# 1
A plane-wave DFT calculation with GGA-PBE was carried out for LiMn3Al after structural relaxation.

Output
VASP energy   -5.80 eV per atom
Total magnetic moment   9.06 μB per cell
Mass density   4.6 g/cm3
Formation energy from the elements   0.8302 eV/atom

Cell lengths 4.143, 4.143, 4.143 Å; angles 90.00, 90.00, 90.00 degrees
Fractional coordinates of all 5 atoms:
Li 0.000 0.000 0.000
Mn 0.000 0.000 0.500
Mn 0.000 0.500 0.000
Mn 0.500 0.000 0.000
Al 0.500 0.500 0.500

---

# 2
A plane-wave DFT calculation with GGA-PBE was carried out for SrPr2Ga after structural relaxation.

Output
VASP energy   -3.60 eV per atom
Total magnetic moment   0.00 μB per cell
Mass density   4.7 g/cm3
Formation energy from the elements   -0.0347 eV/atom

Cell lengths 4.771, 4.771, 23.750 Å; angles 90.00, 90.00, 120.00 degrees
Fractional coordinates of all 12 atoms:
Sr 0.000 0.000 0.000
Sr 0.333 0.667 0.667
Sr 0.667 0.333 0.333
Pr 0.000 0.000 0.556
Pr 0.000 0.000 0.782
Pr 0.333 0.667 0.223
Pr 0.333 0.667 0.449
Pr 0.667 0.333 0.116
Pr 0.667 0.333 0.889
Ga 0.000 0.000 0.169
Ga 0.333 0.667 0.836
Ga 0.667 0.333 0.502

---

# 3
A plane-wave DFT calculation with GGA-PBE was carried out for GdMgZrCd after structural relaxation.

Output
VASP energy   -6.32 eV per atom
Total magnetic moment   31.33 μB per cell
Mass density   6.5 g/cm3
Formation energy from the elements   -0.0390 eV/atom

Cell lengths 7.313, 7.313, 7.313 Å; angles 90.00, 90.00, 90.00 degrees
Fractional coordinates of all 16 atoms:
Gd 0.000 0.000 0.000
Gd 0.000 0.500 0.500
Gd 0.500 0.000 0.500
Gd 0.500 0.500 0.000
Mg 0.250 0.250 0.250
Mg 0.250 0.750 0.750
Mg 0.750 0.250 0.750
Mg 0.750 0.750 0.250
Zr 0.000 0.000 0.500
Zr 0.000 0.500 0.000
Zr 0.500 0.000 0.000
Zr 0.500 0.500 0.500
Cd 0.250 0.250 0.750
Cd 0.250 0.750 0.250
Cd 0.750 0.250 0.250
Cd 0.750 0.750 0.750

---

# 4
A plane-wave DFT calculation with GGA-PBE was carried out for AlCd2InSe after structural relaxation.

Output
VASP energy   -2.09 eV per atom
Total magnetic moment   0.00 μB per cell
Mass density   5.2 g/cm3

Cell lengths 5.136, 5.136, 5.412 Å; angles 90.00, 90.00, 90.00 degrees
Fractional coordinates of all 5 atoms:
Al 0.000 0.000 0.000
Cd 0.000 0.500 0.000
Cd 0.500 0.000 0.000
In 0.000 0.000 0.500
Se 0.500 0.500 0.500

---

# 5
A plane-wave DFT calculation with GGA-PBE was carried out for CaCrGe3 after structural relaxation.

Output
VASP energy   -3.83 eV per atom
Total magnetic moment   3.73 μB per cell
Mass density   3.5 g/cm3
Formation energy from the elements   1.2675 eV/atom

Cell lengths 5.284, 5.284, 5.284 Å; angles 90.00, 90.00, 90.00 degrees
Fractional coordinates of all 5 atoms:
Ca 0.000 0.000 0.000
Cr 0.500 0.500 0.500
Ge 0.000 0.000 0.500
Ge 0.000 0.500 0.000
Ge 0.500 0.000 0.000

---

# 6
A plane-wave DFT calculation with GGA-PBE was carried out for CoIrRu2 after structural relaxation.

Output
VASP energy   -8.48 eV per atom
Total magnetic moment   5.42 μB per cell
Mass density   13.9 g/cm3
Formation energy from the elements   0.1476 eV/atom

Cell lengths 2.689, 2.689, 25.936 Å; angles 90.00, 90.00, 120.00 degrees
Fractional coordinates of all 12 atoms:
Co 0.000 0.000 0.000
Co 0.333 0.667 0.667
Co 0.667 0.333 0.333
Ir 0.000 0.000 0.500
Ir 0.333 0.667 0.167
Ir 0.667 0.333 0.833
Ru 0.000 0.000 0.253
Ru 0.000 0.000 0.747
Ru 0.333 0.667 0.414
Ru 0.333 0.667 0.919
Ru 0.667 0.333 0.081
Ru 0.667 0.333 0.586

---

# 7
A plane-wave DFT calculation with GGA-PBE was carried out for Th6RuC2Se3 after structural relaxation.

Output
VASP energy   -7.92 eV per atom
Total magnetic moment   0.00 μB per cell
Mass density   10.1 g/cm3

Cell lengths 9.320, 9.320, 8.453 Å; angles 107.01, 107.01, 24.32 degrees
Fractional coordinates of all 12 atoms:
Th 0.016 0.016 0.240
Th 0.322 0.322 0.442
Th 0.333 0.333 0.876
Th 0.667 0.667 0.124
Th 0.678 0.678 0.558
Th 0.984 0.984 0.760
Ru 0.500 0.500 0.000
C 0.171 0.171 0.336
C 0.829 0.829 0.664
Se 0.163 0.163 0.832
Se 0.500 0.500 0.500
Se 0.837 0.837 0.168

---

# 8
A plane-wave DFT calculation with GGA-PBE was carried out for TcBMo3 after structural relaxation.

Output
VASP energy   -7.48 eV per atom
Total magnetic moment   0.00 μB per cell
Mass density   6.5 g/cm3
Formation energy from the elements   2.4271 eV/atom

Cell lengths 4.656, 4.656, 4.656 Å; angles 90.00, 90.00, 90.00 degrees
Fractional coordinates of all 5 atoms:
Tc 0.000 0.000 0.000
B 0.500 0.500 0.500
Mo 0.000 0.000 0.500
Mo 0.000 0.500 0.000
Mo 0.500 0.000 0.000

---

# 9
A plane-wave DFT calculation with GGA-PBE was carried out for PmPr4Tm4 after structural relaxation.

Output
VASP energy   -4.62 eV per atom
Total magnetic moment   0.00 μB per cell
Mass density   7.7 g/cm3
Formation energy from the elements   0.0236 eV/atom

Cell lengths 8.077, 8.077, 8.077 Å; angles 95.67, 95.67, 143.37 degrees
Fractional coordinates of all 9 atoms:
Pm 0.000 0.000 0.000
Pr 0.000 0.329 0.329
Pr 0.000 0.671 0.671
Pr 0.329 0.000 0.329
Pr 0.671 0.000 0.671
Tm 0.334 0.334 0.668
Tm 0.334 0.666 0.000
Tm 0.666 0.334 0.000
Tm 0.666 0.666 0.332

---

# 10
A plane-wave DFT calculation with GGA-PBE was carried out for Ho2ErMg6 after structural relaxation.

Output
VASP energy   -2.65 eV per atom
Total magnetic moment   0.00 μB per cell
Mass density   4.6 g/cm3
Formation energy from the elements   -0.0610 eV/atom

Cell lengths 9.042, 9.042, 3.276 Å; angles 90.24, 90.24, 59.91 degrees
Fractional coordinates of all 9 atoms:
Ho 0.167 0.167 0.000
Ho 0.833 0.833 0.000
Er 0.500 0.500 0.000
Mg 0.167 0.500 0.499
Mg 0.167 0.833 0.500
Mg 0.500 0.167 0.499
Mg 0.500 0.833 0.501
Mg 0.833 0.167 0.500
Mg 0.833 0.500 0.501

---

# 11
A plane-wave DFT calculation with GGA-PBE was carried out for SmIn6Bi after structural relaxation.

Output
VASP energy   -3.26 eV per atom
Total magnetic moment   0.00 μB per cell
Mass density   7.9 g/cm3
Formation energy from the elements   -0.1295 eV/atom

Cell lengths 9.882, 9.920, 4.482 Å; angles 90.00, 90.00, 90.00 degrees
Fractional coordinates of all 16 atoms:
Sm 0.000 0.000 0.000
Sm 0.500 0.500 0.000
In 0.000 0.252 0.500
In 0.000 0.748 0.500
In 0.248 0.500 0.500
In 0.250 0.250 0.000
In 0.250 0.750 0.000
In 0.252 0.000 0.500
In 0.500 0.248 0.500
In 0.500 0.752 0.500
In 0.748 0.000 0.500
In 0.750 0.250 0.000
In 0.750 0.750 0.000
In 0.752 0.500 0.500
Bi 0.000 0.500 0.000
Bi 0.500 0.000 0.000

---

# 12
A plane-wave DFT calculation with GGA-PBE was carried out for YMnMo2 after structural relaxation.

Output
VASP energy   -8.68 eV per atom
Total magnetic moment   0.69 μB per cell
Mass density   8.1 g/cm3
Formation energy from the elements   0.6464 eV/atom

Cell lengths 4.611, 4.611, 3.253 Å; angles 90.00, 90.00, 90.00 degrees
Fractional coordinates of all 4 atoms:
Y 0.000 0.000 0.000
Mn 0.500 0.500 0.000
Mo 0.000 0.500 0.500
Mo 0.500 0.000 0.500